No. 1
Here is a relaxed NbRuO2 crystal from Alexandria via LeMat-Bulk. Energies are from PBE.

Its formation energy from raw total energies is -41 kJ per mole of atoms. Its energy above the lowest structure with this stoichiometry is 0.8252 eV/atom. The crystal system is cubic.

It has space group Fm-3m (No. 225), with a = 5.565 Å, b = 5.565 Å, c = 5.565 Å, α = 90.00°, β = 90.00° and γ = 90.00°. Symmetry generates all atoms from Nb at (0.000, 0.000, 0.000), Ru at (0.000, 0.000, 0.500) and O at (0.250, 0.250, 0.250).


No. 2
Here is a relaxed Cs3Li2AgI6 crystal from Alexandria via LeMat-Bulk. Energies are from PBE.

Its formation energy from raw total energies is -109 kJ per mole of atoms. The crystal system is trigonal.

It has space group P-3m1 (No. 164), with a = 8.6875 Å, b = 8.6875 Å, c = 9.7485 Å, α = 90.00°, β = 90.00° and γ = 120.00°. Symmetry generates all atoms from Cs at (0.0000, 0.0000, 0.0000), Cs at (0.3333, 0.6667, 0.6296), Li at (0.3333, 0.6667, 0.2440), Ag at (0.0000, 0.0000, 0.5000) and I at (0.1629, 0.3258, 0.3031).


No. 3
Here is a relaxed Ta5NbRe4 crystal from Alexandria via LeMat-Bulk. Energies are from PBE.

The formation energy comes out at -0.36 eV per atom. The crystal system is tetragonal.

It has space group P4/mmm (No. 123), with a = 3.211 Å, b = 3.211 Å, c = 16.255 Å, α = 90.00°, β = 90.00° and γ = 90.00°. Symmetry generates all atoms from Ta at (0.000, 0.000, 0.000), Ta at (0.000, 0.000, 0.197), Ta at (0.000, 0.000, 0.393), Nb at (0.500, 0.500, 0.500), Re at (0.500, 0.500, 0.098) and Re at (0.500, 0.500, 0.295).


No. 4
Here is a relaxed ScZn2Re crystal from Alexandria via LeMat-Bulk. Energies are from PBE.

Its energy above the lowest structure with this stoichiometry is 0.2764 eV/atom. The formation energy comes out at 0.19 eV per atom. The crystal system is trigonal.

It has space group R3m (No. 160, hexagonal axes), with a = 2.8390 Å, b = 2.8390 Å, c = 28.1971 Å, α = 90.00°, β = 90.00° and γ = 120.00°. Symmetry generates all atoms from Sc at (0.0000, 0.0000, 0.0000), Zn at (0.0000, 0.0000, 0.5009), Zn at (0.0000, 0.0000, 0.7541) and Re at (0.0000, 0.0000, 0.2458).


No. 5
Here is a relaxed Sc2PbBr crystal from Alexandria via LeMat-Bulk. Energies are from PBE.

Its formation energy from raw total energies is -50 kJ per mole of atoms. Its energy above the lowest structure with this stoichiometry is 0.0854 eV/atom. The crystal system is orthorhombic.

It has space group Imm2 (No. 44), with a = 3.472 Å, b = 4.317 Å, c = 13.476 Å, α = 90.00°, β = 90.00° and γ = 90.00°. Symmetry generates all atoms from Sc at (0.000, 0.000, 0.000), Sc at (0.000, 0.500, 0.268), Pb at (0.000, 0.000, 0.417) and Br at (0.000, 0.500, 0.667).


No. 6
Here is a relaxed Hf3PN crystal from Alexandria via LeMat-Bulk. Energies are from PBE.

Its formation energy from raw total energies is -60 kJ per mole of atoms. Its energy above the lowest structure with this stoichiometry is 0.7415 eV/atom. The crystal system is cubic.

It has space group Pm-3m (No. 221), with a = 4.350 Å, b = 4.350 Å, c = 4.350 Å, α = 90.00°, β = 90.00° and γ = 90.00°. Symmetry generates all atoms from Hf at (0.000, 0.000, 0.500), P at (0.500, 0.500, 0.500) and N at (0.000, 0.000, 0.000).


No. 7
Here is a relaxed Fe2HgAsH crystal from Alexandria via LeMat-Bulk. Energies are from PBE.

The crystal system is tetragonal. For the energy, the calculation gives -4.548 eV per atom.

It has space group P4/mmm (No. 123), with a = 3.880 Å, b = 3.880 Å, c = 4.511 Å, α = 90.00°, β = 90.00° and γ = 90.00°. Symmetry generates all atoms from Fe at (0.000, 0.500, 0.000), Hg at (0.000, 0.000, 0.500), As at (0.500, 0.500, 0.500) and H at (0.500, 0.500, 0.000).


No. 8
Here is a relaxed Nd4Cl3O4 crystal from Alexandria via LeMat-Bulk. Energies are from PBE.

Its formation energy from raw total energies is -257 kJ per mole of atoms. The crystal system is orthorhombic.

It has space group Immm (No. 71), with a = 3.700 Å, b = 7.847 Å, c = 13.593 Å, α = 90.00°, β = 90.00° and γ = 90.00°. Symmetry generates all atoms from Nd at (0.000, 0.000, 0.216), Nd at (0.000, 0.232, 0.500), Cl at (0.000, 0.000, 0.000), Cl at (0.000, 0.500, 0.109) and O at (0.000, 0.320, 0.339).


Copy entry 6 word for word.
Here is a relaxed Hf3PN crystal from Alexandria via LeMat-Bulk. Energies are from PBE.

Its formation energy from raw total energies is -60 kJ per mole of atoms. Its energy above the lowest structure with this stoichiometry is 0.7415 eV/atom. The crystal system is cubic.

It has space group Pm-3m (No. 221), with a = 4.350 Å, b = 4.350 Å, c = 4.350 Å, α = 90.00°, β = 90.00° and γ = 90.00°. Symmetry generates all atoms from Hf at (0.000, 0.000, 0.500), P at (0.500, 0.500, 0.500) and N at (0.000, 0.000, 0.000).